Record 1
Density functional theory data (PBE) for Er6TcPb2 after structural relaxation.

Unit cell a=8.088 b=8.088 c=4.360 alpha=90.00 beta=90.00 gamma=120.00
Positions (direct):
Er 0.000 0.605 0.000
Er 0.761 0.761 0.500
Er 0.239 0.000 0.500
Er 0.395 0.395 0.000
Er 0.605 0.000 0.000
Er 0.000 0.239 0.500
Pb 0.667 0.333 0.500
Pb 0.333 0.667 0.500
Tc 0.000 0.000 0.000

=====

Record 2
Density functional theory data (PBE) for Er5Te5Pb after structural relaxation.

Unit cell a=7.502 b=7.502 c=8.644 alpha=106.70 beta=106.70 gamma=48.30
Positions (direct):
Te 0.666 0.666 0.337
Te 0.666 0.666 0.830
Te 0.334 0.334 0.170
Te 0.000 0.000 0.500
Te 0.334 0.334 0.663
Er 0.164 0.164 0.831
Er 0.837 0.837 0.668
Er 0.500 0.500 0.000
Er 0.836 0.836 0.169
Er 0.163 0.163 0.332
Pb 0.000 0.000 0.000

=====

Record 3
Density functional theory data (PBE) for ErTePb after structural relaxation.

Unit cell a=5.180 b=5.180 c=5.180 alpha=60.00 beta=60.00 gamma=60.00
Positions (direct):
Er 0.750 0.750 0.750
Te 0.000 0.000 0.000
Pb 0.250 0.250 0.250

=====

Record 4
Density functional theory data (PBE) for ErThPb after structural relaxation.

Summary:
offset from the most stable computed form: 0 meV/atom

Unit cell a=5.438 b=5.438 c=10.419 alpha=90.00 beta=90.00 gamma=120.00
Positions (direct):
Th 0.333 0.667 0.500
Th 0.333 0.667 0.160
Th 0.333 0.667 0.840
Er 0.667 0.333 0.312
Er 0.667 0.333 0.688
Er 0.000 0.000 0.000
Pb 0.667 0.333 0.000
Pb 0.000 0.000 0.676
Pb 0.000 0.000 0.324

=====

Record 5
Density functional theory data (PBE) for ErThPb after structural relaxation.

Summary:
offset from the most stable computed form: 283 meV/atom

Unit cell a=5.239 b=5.239 c=5.239 alpha=60.00 beta=60.00 gamma=60.00
Positions (direct):
Er 0.250 0.250 0.250
Th 0.750 0.750 0.750
Pb 0.000 0.000 0.000

=====

Record 6
Density functional theory data (PBE) for ErTmPb4 after structural relaxation.

Unit cell a=3.294 b=10.095 c=10.095 alpha=36.34 beta=90.00 gamma=90.00
Positions (direct):
Pb 0.500 0.084 0.084
Pb 0.500 0.754 0.754
Pb 0.500 0.916 0.916
Pb 0.500 0.246 0.246
Tm 0.500 0.590 0.590
Er 0.500 0.410 0.410

=====

Record 7
Density functional theory data (PBE) for ErTmPb after structural relaxation.

Unit cell a=5.110 b=5.110 c=5.110 alpha=60.00 beta=60.00 gamma=60.00
Positions (direct):
Pb 0.000 0.000 0.000
Er 0.250 0.250 0.250
Tm 0.750 0.750 0.750

=====

Record 8
Density functional theory data (PBE) for ErUPb after structural relaxation.

Summary:
offset from the most stable computed form: 0 meV/atom

Unit cell a=3.282 b=9.423 c=9.423 alpha=120.00 beta=90.00 gamma=90.00
Each line ends with the local moment (μB).
Positions (direct):
Er 0.000 0.666 0.000  0.47
Er 0.000 0.334 0.334  0.47
Er 0.000 0.000 0.666  0.47
U 0.500 0.000 0.331  3.09
U 0.500 0.669 0.669  3.09
U 0.500 0.331 0.000  3.09
Pb 0.000 0.667 0.333  -0.02
Pb 0.000 0.000 0.000  -0.02
Pb 0.000 0.333 0.667  -0.02

=====

Record 9
Density functional theory data (PBE) for ErUPb after structural relaxation.

Summary:
offset from the most stable computed form: 248 meV/atom

Unit cell a=5.205 b=5.205 c=5.205 alpha=60.00 beta=60.00 gamma=60.00
Each line ends with the local moment (μB).
Positions (direct):
Er 0.250 0.250 0.250  0.57
Pb 0.000 0.000 0.000  -0.05
U 0.750 0.750 0.750  3.02

=====

Record 10
Density functional theory data (PBE) for YErPb after structural relaxation.

Unit cell a=5.149 b=5.149 c=5.149 alpha=60.00 beta=60.00 gamma=60.00
Positions (direct):
Y 0.750 0.750 0.750
Er 0.250 0.250 0.250
Pb 0.000 0.000 0.000

=====

Record 11
Density functional theory data (PBE) for YErPb4 after structural relaxation.

Unit cell a=3.317 b=10.132 c=10.132 alpha=36.22 beta=90.00 gamma=90.00
Positions (direct):
Er 0.500 0.408 0.408
Pb 0.500 0.917 0.917
Pb 0.500 0.083 0.083
Pb 0.500 0.756 0.756
Pb 0.500 0.244 0.244
Y 0.500 0.591 0.591

=====

Record 12
Density functional theory data (PBE) for YErZn2Pb2 after structural relaxation.

Summary:
offset from the most stable computed form: 6 meV/atom

Unit cell a=4.586 b=4.586 c=15.961 alpha=90.00 beta=90.00 gamma=120.00
Positions (direct):
Pb 0.333 0.667 0.391
Pb 0.333 0.667 0.109
Pb 0.667 0.333 0.891
Pb 0.667 0.333 0.609
Zn 0.667 0.333 0.165
Zn 0.333 0.667 0.835
Zn 0.667 0.333 0.335
Zn 0.333 0.667 0.665
Er 0.000 0.000 0.000
Er 0.000 0.000 0.500
Y 0.000 0.000 0.750
Y 0.000 0.000 0.250

=====

Record 13
Density functional theory data (PBE) for YErZn2Pb2 after structural relaxation.

Summary:
offset from the most stable computed form: 0 meV/atom

Unit cell a=4.576 b=4.576 c=15.990 alpha=90.00 beta=90.00 gamma=120.00
Positions (direct):
Y 0.000 0.000 0.500
Y 0.000 0.000 0.000
Zn 0.667 0.333 0.334
Zn 0.667 0.333 0.166
Zn 0.333 0.667 0.834
Zn 0.333 0.667 0.666
Pb 0.667 0.333 0.889
Pb 0.333 0.667 0.389
Pb 0.333 0.667 0.111
Pb 0.667 0.333 0.611
Er 0.000 0.000 0.750
Er 0.000 0.000 0.250

=====

Record 14
Density functional theory data (PBE) for ErPd after structural relaxation.

Summary:
ΔH_f (0 K): -1.9 eV per formula unit

Unit cell a=3.464 b=3.464 c=3.464 alpha=90.00 beta=90.00 gamma=90.00
Positions (direct):
Er 0.000 0.000 0.000
Pd 0.500 0.500 0.500

=====

Record 15
Density functional theory data (PBE) for Er3Pd7 after structural relaxation.

Summary:
ΔH_f (0 K): -9.3 eV per formula unit

Unit cell a=7.888 b=7.888 c=5.787 alpha=103.95 beta=103.95 gamma=30.78
Positions (direct):
Pd 0.399 0.399 0.683
Pd 0.000 0.000 0.500
Pd 0.200 0.200 0.125
Pd 0.402 0.402 0.185
Pd 0.598 0.598 0.815
Pd 0.800 0.800 0.875
Pd 0.601 0.601 0.317
Er 0.000 0.000 0.000
Er 0.812 0.812 0.368
Er 0.188 0.188 0.632

=====

Record 16
Density functional theory data (PBE) for Er3Pd5 after structural relaxation.

Summary:
ΔH_f (0 K): -7.7 eV per formula unit

Unit cell a=5.776 b=5.776 c=9.507 alpha=90.00 beta=90.00 gamma=75.72
Positions (direct):
Er 0.796 0.796 0.000
Er 0.204 0.204 0.500
Er 0.612 0.388 0.750
Er 0.388 0.612 0.250
Er 0.796 0.796 0.500
Er 0.204 0.204 0.000
Pd 0.948 0.504 0.250
Pd 0.496 0.052 0.250
Pd 0.691 0.309 0.456
Pd 0.309 0.691 0.544
Pd 0.309 0.691 0.956
Pd 0.691 0.309 0.044
Pd 0.504 0.948 0.750
Pd 0.011 0.989 0.750
Pd 0.989 0.011 0.250
Pd 0.052 0.496 0.750

=====

Record 17
Density functional theory data (PBE) for ErPd after structural relaxation.

Summary:
ΔH_f (0 K): -1.4 eV per formula unit

Unit cell a=3.633 b=3.633 c=3.911 alpha=90.00 beta=90.00 gamma=120.00
Positions (direct):
Pd 0.333 0.667 0.250
Er 0.667 0.333 0.750

=====

Record 18
Density functional theory data (PBE) for ErPd after structural relaxation.

Summary:
ΔH_f (0 K): -0.3 eV per formula unit

Unit cell a=4.420 b=4.420 c=4.420 alpha=60.00 beta=60.00 gamma=60.00
Positions (direct):
Pd 0.250 0.250 0.250
Er 0.000 0.000 0.000

=====

Record 19
Density functional theory data (PBE) for ErPd5 after structural relaxation.

Summary:
ΔH_f (0 K): -3.2 eV per formula unit

Unit cell a=5.248 b=5.248 c=5.248 alpha=60.00 beta=60.00 gamma=60.00
Positions (direct):
Pd 0.375 0.874 0.375
Pd 0.750 0.750 0.750
Pd 0.375 0.375 0.874
Pd 0.375 0.375 0.375
Pd 0.874 0.375 0.375
Er 0.000 0.000 0.000

=====

Record 20
Density functional theory data (PBE) for PmErPd6 after structural relaxation.

Summary:
ΔH_f (0 K): -6.9 eV per formula unit

Unit cell a=4.139 b=4.139 c=8.240 alpha=90.00 beta=90.00 gamma=90.00
Positions (direct):
Pd 0.500 0.000 0.244
Pd 0.000 0.500 0.244
Pd 0.500 0.000 0.756
Pd 0.000 0.500 0.756
Pd 0.500 0.500 0.000
Pd 0.500 0.500 0.500
Er 0.000 0.000 0.000
Pm 0.000 0.000 0.500

=====

Record 21
Density functional theory data (PBE) for PrErSn2Pd4 after structural relaxation.

Unit cell a=4.611 b=4.611 c=9.088 alpha=90.00 beta=90.00 gamma=120.00
Positions (direct):
Pd 0.000 0.000 0.174
Pd 0.333 0.667 0.660
Pd 0.333 0.667 0.340
Pd 0.000 0.000 0.826
Er 0.000 0.000 0.500
Sn 0.667 0.333 0.259
Sn 0.667 0.333 0.741
Pr 0.333 0.667 0.000

=====

Record 22
Density functional theory data (PBE) for Er2Sn2PdPt3 after structural relaxation.

Unit cell a=4.554 b=4.554 c=9.024 alpha=90.00 beta=90.00 gamma=120.00
Positions (direct):
Pt 0.667 0.333 0.086
Pt 0.000 0.000 0.591
Pt 0.667 0.333 0.410
Er 0.000 0.000 0.251
Er 0.667 0.333 0.746
Sn 0.333 0.667 0.003
Sn 0.333 0.667 0.501
Pd 0.000 0.000 0.912

=====

Record 23
Density functional theory data (PBE) for Er3Sn3Pd2Pt after structural relaxation.

Unit cell a=7.504 b=7.504 c=3.984 alpha=90.00 beta=90.00 gamma=120.00
Positions (direct):
Pt 0.000 0.000 0.000
Pd 0.333 0.667 0.500
Pd 0.667 0.333 0.500
Sn 0.739 0.000 0.500
Sn 0.000 0.739 0.500
Sn 0.261 0.261 0.500
Er 0.403 0.000 0.000
Er 0.000 0.403 0.000
Er 0.597 0.597 0.000

=====

Record 24
Density functional theory data (PBE) for Er3Sn3PdPt2 after structural relaxation.

Unit cell a=3.984 b=7.503 c=7.503 alpha=119.97 beta=90.00 gamma=90.00
Positions (direct):
Sn 0.500 0.000 0.742
Sn 0.500 0.742 0.000
Sn 0.500 0.258 0.258
Pd 0.000 0.000 0.000
Er 0.000 0.592 0.592
Er 0.000 0.408 0.000
Er 0.000 0.000 0.408
Pt 0.500 0.334 0.667
Pt 0.500 0.667 0.334

=====

Record 25
Density functional theory data (PBE) for Er2TmSn3PdPt2 after structural relaxation.

Unit cell a=3.979 b=7.499 c=7.499 alpha=119.98 beta=90.00 gamma=90.00
Positions (direct):
Pt 0.500 0.667 0.333
Pt 0.500 0.333 0.667
Tm 0.000 0.408 0.408
Er 0.000 0.592 0.000
Er 0.000 0.000 0.592
Sn 0.500 0.258 0.000
Sn 0.500 0.742 0.742
Sn 0.500 0.000 0.258
Pd 0.000 0.000 0.000

=====

Record 26
Density functional theory data (PBE) for ErTm2Sn3PdPt2 after structural relaxation.

Unit cell a=3.975 b=7.494 c=7.494 alpha=120.02 beta=90.00 gamma=90.00
Positions (direct):
Pd 0.000 0.000 0.000
Sn 0.500 0.742 0.742
Sn 0.500 0.000 0.258
Sn 0.500 0.258 0.000
Tm 0.000 0.000 0.592
Tm 0.000 0.592 0.000
Pt 0.500 0.667 0.333
Pt 0.500 0.333 0.667
Er 0.000 0.408 0.408

=====

no.,total energy (eV/atom)
1,-5.370
2,-5.049
3,-4.046
4,-5.457
5,-5.175
6,-3.736
7,-4.386
8,-6.221
9,-5.973
10,-5.111
11,-4.086
12,-3.885
13,-3.892
14,-5.801
15,-5.921
16,-5.914
17,-5.546
18,-5.010
19,-5.600
20,-5.909
21,-5.614
22,-6.055
23,-5.657
24,-5.823
25,-5.811
26,-5.800